! TcTe3Br, relaxed, DFT GGA-PBE; values from VASP
! Space-group type ... Pm-3m (221)
! Crystal system ... cubic
! Energy ... -3.93 eV per atom
! ΔE to the lowest computed polymorph ... 0.0 kJ per mole of atoms
! E_form (uncorrected) ... 0.36 eV/atom
&SYSTEM
  ibrav = 0, nat = 5, ntyp = 3
/
ATOMIC_SPECIES
Tc 98.00 Tc.upf
Te 127.60 Te.upf
Br 79.90 Br.upf
CELL_PARAMETERS angstrom
5.249 0.000 0.000
0.000 5.249 0.000
0.000 0.000 5.249
ATOMIC_POSITIONS crystal
Tc 0.000 0.000 0.000
Te 0.000 0.000 0.500
Te 0.000 0.500 0.000
Te 0.500 0.000 0.000
Br 0.500 0.500 0.500